Entry 1:
# CaAc7Y4, relaxed, DFT PBE
# crystal system: triclinic
# space-group type: No. 2
# total DFT energy (no corrections): -56.08 eV/cell
# formation enthalpy at 0 K: 45 meV/atom
data_CaAc7Y4
_space_group_name_H-M_alt 'P 1'
_space_group_IT_number 1
_cell_length_a 7.7333
_cell_length_b 10.2676
_cell_length_c 9.5678
_cell_angle_alpha 80.87
_cell_angle_beta 89.31
_cell_angle_gamma 40.93
loop_
_space_group_symop_operation_xyz
'x,y,z'
loop_
_atom_site_label
_atom_site_type_symbol
_atom_site_fract_x
_atom_site_fract_y
_atom_site_fract_z
_atom_site_occupancy
Ca1 Ca 0.0000 0.0000 0.0000 1
Ac1 Ac 0.7551 0.5032 0.0085 1
Ac2 Ac 0.2449 0.4968 0.9915 1
Ac3 Ac 0.9711 0.2842 0.6594 1
Ac4 Ac 0.0289 0.7158 0.3406 1
Ac5 Ac 0.2235 0.7768 0.6625 1
Ac6 Ac 0.5000 0.0000 0.0000 1
Ac7 Ac 0.7765 0.2232 0.3375 1
Y1 Y 0.5367 0.7230 0.3389 1
Y2 Y 0.4633 0.2770 0.6611 1
Y3 Y 0.7174 0.7819 0.6631 1
Y4 Y 0.2826 0.2181 0.3369 1

***

Entry 2:
# CaAcY, relaxed, DFT PBE
# crystal system: orthorhombic
# space-group type: No. 63
# total DFT energy (no corrections): -24.87 eV/cell
# energy above the most stable polymorph in this dataset: 5 meV/atom
# formation enthalpy at 0 K: 46 meV/atom
data_CaAcY
_space_group_name_H-M_alt 'P 1'
_space_group_IT_number 1
_cell_length_a 3.7932
_cell_length_b 6.0661
_cell_length_c 10.4590
_cell_angle_alpha 90.00
_cell_angle_beta 100.45
_cell_angle_gamma 90.00
loop_
_space_group_symop_operation_xyz
'x,y,z'
loop_
_atom_site_label
_atom_site_type_symbol
_atom_site_fract_x
_atom_site_fract_y
_atom_site_fract_z
_atom_site_occupancy
Ca1 Ca 0.7851 0.2500 0.5702 1
Ca2 Ca 0.2149 0.7500 0.4298 1
Ac1 Ac 0.8929 0.7500 0.7858 1
Ac2 Ac 0.1071 0.2500 0.2142 1
Y1 Y 0.4507 0.2500 0.9013 1
Y2 Y 0.5493 0.7500 0.0987 1